DFT (PBE) results for a relaxed structure of Y2ThBi.

Cell lengths 3.9810, 3.9810, 7.5657 Å; angles 90.00, 90.00, 90.00 degrees
Sites, in units of the cell vectors:
Th (0.5000, 0.5000, 0.0000)
Y (0.0000, 0.0000, 0.7252)
Y (0.0000, 0.0000, 0.2748)
Bi (0.5000, 0.5000, 0.5000)

Computed properties:
The formation energy from the elements is -0.3701 eV per atom. Its space-group type is P4/mmm, No. 123. As for the density of states at the Fermi level: 4.00 states/eV/f.u. As for the magnetization: 0.000 μB per atom. For the calculated density, the calculation gives 8.6 g cm⁻³. As for the total energy: -25.7 eV per formula unit.